(1)
VGaMo2H | PBE | relaxed

a b c (Å): 4.0822 4.0822 3.7060
angles (deg): 90.00 90.00 90.00
With the nearest neighbours (Å) after each atom.
Space group P4/mmm (No. 123)
One atom of each set of equivalent atoms:
V: 0.0000 0.0000 0.0000  2 H 1.85
Ga: 0.5000 0.5000 0.0000  8 Mo 2.76, 4 V 2.89
Mo: 0.0000 0.5000 0.5000  2 H 2.04
H: 0.0000 0.0000 0.5000  2 V 1.85, 4 Mo 2.04

Values from the calculation:
Total DFT energy (no corrections) ... -37.4 eV for the cell shown
Calculated density ... 8.43 Mg/m³



(2)
YGaMo2H | PBE | relaxed

a b c (Å): 4.0498 4.0498 4.6176
angles (deg): 90.00 90.00 90.00
With the nearest neighbours (Å) after each atom.
Space group P4/mmm (No. 123)
One atom of each set of equivalent atoms:
Y: 0.0000 0.0000 0.0000  2 H 2.31
Ga: 0.5000 0.5000 0.0000  4 Y 2.86, 8 Mo 3.07
Mo: 0.0000 0.5000 0.5000  2 H 2.02
H: 0.0000 0.0000 0.5000  4 Mo 2.02

Values from the calculation:
Total DFT energy (no corrections) ... -34.3 eV for the cell shown
Calculated density ... 7.71 Mg/m³



(3)
Zr2GaMoH | PBE | relaxed

a b c (Å): 4.6035 4.6035 3.6814
angles (deg): 90.00 90.00 90.00
With the nearest neighbours (Å) after each atom.
Space group P4/mmm (No. 123)
One atom of each set of equivalent atoms:
Zr: 0.0000 0.5000 0.0000  2 H 2.30
Ga: 0.0000 0.0000 0.5000  8 Zr 2.95, 4 Mo 3.26
Mo: 0.5000 0.5000 0.5000  2 H 1.84
H: 0.5000 0.5000 0.0000  2 Mo 1.84

Values from the calculation:
Total DFT energy (no corrections) ... -36.0 eV for the cell shown
Calculated density ... 7.43 Mg/m³



(4)
GaH2N | PBE | relaxed

a b c (Å): 2.8950 3.3433 5.2514
angles (deg): 108.41 100.31 90.01
With the nearest neighbours (Å) after each atom.
Space group P1 (No. 1)
One atom of each set of equivalent atoms:
Ga: 0.0000 0.0000 0.0000  2 N 2.11
H: 0.1701 0.7271 0.4571  1 N 1.04
H: 0.6467 0.6363 0.2747  1 N 1.02
N: 0.9922 0.6272 0.2564  2 H 1.02-1.04

Values from the calculation:
ΔE to the lowest computed polymorph ... 0.193 eV/atom
Calculated density ... 3.01 Mg/m³



> Which value of calculated density does entry 2 give?

7.71 Mg/m³